The following is a DFT calculation (PBE-GGA) of a relaxed structure of Ho3Mg4Hg4.

Results
Its space group is Immm, No. 71. The calculation puts the calculated volume at 267.3 Å³/cell. The value obtained for the theoretical density is 8.66 Mg/m³. For the final energy, the calculation gives -24.91 eV per cell.

Cell lengths 9.109, 9.109, 9.109 Å; angles 153.67, 126.60, 60.49 degrees
Sites, in units of the cell vectors:
Ho 0.000 0.000 0.000
Ho 0.386 0.886 0.500
Ho 0.614 0.114 0.500
Mg 0.020 0.329 0.691
Mg 0.362 0.671 0.691
Mg 0.638 0.329 0.309
Mg 0.980 0.671 0.309
Hg 0.236 0.236 0.000
Hg 0.297 0.500 0.797
Hg 0.703 0.500 0.203
Hg 0.764 0.764 0.000